(1)
{
  "formula": "Sm2Pd3Pb2",
  "functional": "PBE",
  "state": "relaxed",
  "lattice": [[-6.916, 3.020, -1.127], [0.869, -6.111, -4.486], [0.704, -2.087, 7.306]],
  "species": ["Sm", "Sm", "Sm", "Sm", "Pd", "Pd", "Pd", "Pd", "Pd", "Pd", "Pb", "Pb", "Pb", "Pb"],
  "fractional_positions": [[0.000, 0.000, 0.483], [0.500, 0.483, 0.500], [0.517, 0.017, 0.017], [0.983, 0.500, 0.000], [0.765, 0.750, 0.015], [0.735, 0.250, 0.485], [0.985, 0.235, 0.250], [0.515, 0.265, 0.750], [0.250, 0.015, 0.265], [0.750, 0.485, 0.235], [0.000, 0.000, 0.893], [0.500, 0.893, 0.500], [0.107, 0.607, 0.607], [0.393, 0.500, 0.000]],
  "formation_energy_ev_per_atom": -0.571,
  "volume_a3_per_atom": 24.4,
  "crystal_system": "cubic"
}


(2)
{
  "formula": "TmTh3Tl12",
  "functional": "PBE",
  "state": "relaxed",
  "lattice": [[4.769, 0.000, 0.000], [0.000, 4.769, 0.000], [0.000, 0.000, 19.535]],
  "species": ["Tm", "Th", "Th", "Th", "Tl", "Tl", "Tl", "Tl", "Tl", "Tl", "Tl", "Tl", "Tl", "Tl", "Tl", "Tl"],
  "fractional_positions": [[0.000, 0.000, 0.000], [0.000, 0.000, 0.248], [0.000, 0.000, 0.500], [0.000, 0.000, 0.752], [0.500, 0.500, 0.000], [0.500, 0.500, 0.248], [0.500, 0.500, 0.500], [0.500, 0.500, 0.752], [0.500, 0.000, 0.121], [0.500, 0.000, 0.374], [0.500, 0.000, 0.626], [0.500, 0.000, 0.879], [0.000, 0.500, 0.121], [0.000, 0.500, 0.374], [0.000, 0.500, 0.626], [0.000, 0.500, 0.879]],
  "formation_energy_ev_per_atom": -0.158,
  "volume_a3_per_atom": 27.8,
  "crystal_system": "tetragonal"
}


(3)
{
  "formula": "LaCe2Au",
  "functional": "PBE",
  "state": "relaxed",
  "lattice": [[5.622, 0.000, 0.000], [0.000, 4.373, 0.000], [0.000, 0.000, 4.373]],
  "species": ["Au", "Ce", "Ce", "La"],
  "fractional_positions": [[0.500, 0.000, 0.000], [0.000, 0.000, 0.500], [0.000, 0.500, 0.000], [0.500, 0.500, 0.500]],
  "relative_energy_kj_per_mol_atoms": 5.1,
  "formation_energy_ev_per_atom": -0.187,
  "volume_a3_per_atom": 26.9,
  "crystal_system": "tetragonal"
}


(4)
{
  "formula": "Te2PbN",
  "functional": "PBE",
  "state": "relaxed",
  "lattice": [[2.915, 0.000, 6.921], [-1.458, 2.525, 6.921], [-1.458, -2.525, 6.921]],
  "species": ["Pb", "Te", "Te", "N"],
  "fractional_positions": [[0.500, 0.500, 0.500], [0.093, 0.093, 0.093], [0.907, 0.907, 0.907], [0.000, 0.000, 0.000]],
  "relative_energy_kj_per_mol_atoms": 8.2,
  "raw_formation_energy_mev_per_atom": 656.5,
  "volume_a3_per_atom": 38.2,
  "crystal_system": "trigonal"
}


(5)
{
  "formula": "Ag2HPd",
  "functional": "PBE",
  "state": "relaxed",
  "lattice": [[3.575, 0.000, 0.000], [0.000, 6.498, 0.013], [-1.788, -1.618, 4.679]],
  "species": ["Ag", "Ag", "Ag", "Ag", "H", "H", "Pd", "Pd"],
  "fractional_positions": [[0.170, 0.585, 0.339], [0.830, 0.415, 0.661], [0.170, 0.085, 0.339], [0.830, 0.915, 0.661], [0.000, 0.750, 0.000], [0.000, 0.250, 0.000], [0.500, 0.250, 0.000], [0.500, 0.750, 0.000]],
  "relative_energy_kj_per_mol_atoms": 4.8,
  "volume_a3_per_atom": 13.6,
  "crystal_system": "monoclinic"
}


(6)
{
  "formula": "RbYTi",
  "functional": "PBE",
  "state": "relaxed",
  "lattice": [[2.826, 1.701, -5.024], [-5.715, -1.847, -0.245], [-2.022, 6.130, 0.938]],
  "species": ["Y", "Y", "Rb", "Rb", "Ti", "Ti"],
  "fractional_positions": [[0.333, 0.667, 0.750], [0.667, 0.333, 0.250], [0.000, 0.000, 0.000], [0.000, 0.000, 0.500], [0.333, 0.667, 0.250], [0.667, 0.333, 0.750]],
  "relative_energy_kj_per_mol_atoms": 75.2,
  "formation_energy_ev_per_atom": 1.053,
  "volume_a3_per_atom": 34.0,
  "crystal_system": "hexagonal"
}


(7)
{
  "formula": "NdAg2Rh",
  "functional": "PBE",
  "state": "relaxed",
  "lattice": [[4.783, 0.000, 0.000], [0.000, 4.073, 0.000], [0.000, 0.000, 4.073]],
  "species": ["Rh", "Nd", "Ag", "Ag"],
  "fractional_positions": [[0.500, 0.500, 0.500], [0.500, 0.000, 0.000], [0.000, 0.000, 0.500], [0.000, 0.500, 0.000]],
  "formation_energy_ev_per_atom": -0.288,
  "volume_a3_per_atom": 19.8,
  "crystal_system": "tetragonal"
}


(8)
{
  "formula": "La8ZnOs3Br4",
  "functional": "PBE",
  "state": "relaxed",
  "lattice": [[-3.094, 7.867, 0.599], [-5.058, -1.405, -7.670], [-1.059, -5.468, 6.387]],
  "species": ["La", "La", "La", "La", "La", "La", "La", "La", "Zn", "Os", "Os", "Os", "Br", "Br", "Br", "Br"],
  "fractional_positions": [[0.242, 0.696, 0.955], [0.241, 0.696, 0.483], [0.266, 0.300, 0.533], [0.713, 0.696, 0.955], [0.287, 0.304, 0.045], [0.734, 0.700, 0.467], [0.759, 0.304, 0.517], [0.758, 0.304, 0.045], [0.000, 0.500, 0.000], [0.500, 0.500, 0.000], [0.500, 0.500, 0.500], [0.000, 0.500, 0.500], [0.500, 0.000, 0.000], [0.500, 0.000, 0.500], [0.000, 0.000, 0.000], [0.000, 0.000, 0.500]],
  "raw_formation_energy_mev_per_atom": -847.3,
  "volume_a3_per_atom": 30.7,
  "crystal_system": "monoclinic"
}


(9)
{
  "formula": "NbTlBr2N",
  "functional": "PBE",
  "state": "relaxed",
  "lattice": [[6.034, 0.000, 0.000], [0.000, 5.663, 0.000], [0.000, 0.000, 6.034]],
  "species": ["Tl", "Nb", "Br", "Br", "N"],
  "fractional_positions": [[0.000, 0.000, 0.000], [0.000, 0.500, 0.000], [0.000, 0.000, 0.500], [0.500, 0.000, 0.000], [0.500, 0.500, 0.500]],
  "raw_formation_energy_mev_per_atom": 1769.0,
  "volume_a3_per_atom": 41.2,
  "crystal_system": "tetragonal"
}


(10)
{
  "formula": "Sr2YAgI",
  "functional": "PBE",
  "state": "relaxed",
  "lattice": [[6.159, 0.000, 0.000], [0.000, 5.681, 0.000], [0.000, 0.000, 6.159]],
  "species": ["I", "Y", "Ag", "Sr", "Sr"],
  "fractional_positions": [[0.000, 0.000, 0.000], [0.000, 0.500, 0.000], [0.500, 0.500, 0.500], [0.000, 0.000, 0.500], [0.500, 0.000, 0.000]],
  "raw_formation_energy_mev_per_atom": 194.9,
  "volume_a3_per_atom": 43.1,
  "crystal_system": "tetragonal"
}


(11)
{
  "formula": "TbAl2Ru",
  "functional": "PBE",
  "state": "relaxed",
  "lattice": [[-0.844, -2.921, 0.782], [0.998, -1.036, -2.791], [6.632, -1.166, 2.803]],
  "species": ["Ru", "Tb", "Al", "Al"],
  "fractional_positions": [[0.500, 0.500, 0.000], [0.500, 0.500, 0.500], [0.000, 0.000, 0.814], [0.000, 0.000, 0.186]],
  "formation_energy_ev_per_atom": -0.520,
  "volume_a3_per_atom": 18.0,
  "crystal_system": "tetragonal"
}


(12)
{
  "formula": "Ce2TmAg6",
  "functional": "PBE",
  "state": "relaxed",
  "lattice": [[-0.859, -2.343, 2.019], [6.863, 1.547, 4.719], [-0.394, 5.605, 6.340]],
  "species": ["Ce", "Ce", "Tm", "Ag", "Ag", "Ag", "Ag", "Ag", "Ag"],
  "fractional_positions": [[0.000, 0.333, 0.333], [0.000, 0.667, 0.667], [0.000, 0.000, 0.000], [0.500, 0.670, 0.000], [0.500, 0.000, 0.330], [0.500, 0.330, 0.000], [0.500, 0.670, 0.330], [0.500, 0.000, 0.670], [0.500, 0.330, 0.670]],
  "formation_energy_ev_per_atom": -0.180,
  "volume_a3_per_atom": 22.2,
  "crystal_system": "hexagonal"
}


(13)
{
  "formula": "Ti3SnCl",
  "functional": "PBE",
  "state": "relaxed",
  "lattice": [[5.274, 0.000, 0.000], [0.000, 5.274, 0.000], [0.000, 0.000, 5.274]],
  "species": ["Cl", "Sn", "Ti", "Ti", "Ti"],
  "fractional_positions": [[0.500, 0.500, 0.500], [0.000, 0.000, 0.000], [0.000, 0.500, 0.000], [0.000, 0.000, 0.500], [0.500, 0.000, 0.000]],
  "relative_energy_kj_per_mol_atoms": 97.1,
  "raw_formation_energy_mev_per_atom": 894.9,
  "volume_a3_per_atom": 29.3,
  "crystal_system": "cubic"
}


(14)
{
  "formula": "Li2Zr2Cd3",
  "functional": "PBE",
  "state": "relaxed",
  "lattice": [[4.779, 0.000, 0.634], [0.000, 2.907, 0.000], [0.991, 0.000, 10.854]],
  "species": ["Li", "Li", "Zr", "Zr", "Cd", "Cd", "Cd"],
  "fractional_positions": [[0.570, 0.500, 0.861], [0.430, 0.500, 0.139], [0.710, 0.500, 0.581], [0.290, 0.500, 0.419], [0.853, 0.000, 0.294], [0.000, 0.000, 0.000], [0.147, 0.000, 0.706]],
  "formation_energy_ev_per_atom": -0.011,
  "volume_a3_per_atom": 21.3,
  "crystal_system": "orthorhombic"
}


(15)
{
  "formula": "Ce4Zn5Ni2",
  "functional": "PBE",
  "state": "relaxed",
  "lattice": [[-2.305, 1.673, -1.869], [-4.085, -5.808, -0.163], [-4.022, 3.116, 7.751]],
  "species": ["Ce", "Ce", "Ce", "Ce", "Zn", "Zn", "Zn", "Zn", "Zn", "Ni", "Ni"],
  "fractional_positions": [[0.500, 0.744, 0.543], [0.500, 0.127, 0.883], [0.500, 0.256, 0.457], [0.500, 0.873, 0.117], [0.000, 0.575, 0.285], [0.000, 0.226, 0.171], [0.000, 0.500, 0.000], [0.000, 0.774, 0.829], [0.000, 0.425, 0.715], [0.000, 0.051, 0.640], [0.000, 0.949, 0.360]],
  "formation_energy_ev_per_atom": -0.245,
  "volume_a3_per_atom": 20.4,
  "crystal_system": "monoclinic"
}


(16)
{
  "formula": "SrTmHgPd",
  "functional": "PBE",
  "state": "relaxed",
  "lattice": [[5.234, 0.000, 0.000], [2.617, 4.532, 0.000], [2.617, 1.511, 4.273]],
  "species": ["Sr", "Tm", "Hg", "Pd"],
  "fractional_positions": [[0.750, 0.750, 0.750], [0.250, 0.250, 0.250], [0.500, 0.500, 0.500], [0.000, 0.000, 0.000]],
  "formation_energy_ev_per_atom": -0.492,
  "volume_a3_per_atom": 25.3,
  "crystal_system": "cubic"
}


(17)
{
  "formula": "La2CoPPd",
  "functional": "PBE",
  "state": "relaxed",
  "lattice": [[-3.993, 1.274, 3.191], [1.513, -2.919, 3.059], [2.942, 3.795, 2.166]],
  "species": ["P", "Co", "Pd", "La", "La"],
  "fractional_positions": [[0.500, 0.500, 0.500], [0.000, 0.000, 0.000], [0.000, 0.500, 0.000], [0.000, 0.000, 0.500], [0.500, 0.000, 0.000]],
  "formation_energy_ev_per_atom": -0.272,
  "volume_a3_per_atom": 24.9,
  "crystal_system": "tetragonal"
}


(18)
{
  "formula": "MgBiRuCl2",
  "functional": "PBE",
  "state": "relaxed",
  "lattice": [[4.621, 0.000, 0.000], [0.000, 5.778, 0.000], [0.000, 0.000, 4.621]],
  "species": ["Ru", "Mg", "Bi", "Cl", "Cl"],
  "fractional_positions": [[0.000, 0.000, 0.000], [0.000, 0.500, 0.000], [0.500, 0.500, 0.500], [0.000, 0.000, 0.500], [0.500, 0.000, 0.000]],
  "raw_formation_energy_mev_per_atom": 189.4,
  "volume_a3_per_atom": 24.7,
  "crystal_system": "tetragonal"
}


(19)
{
  "formula": "Ba2PC4",
  "functional": "PBE",
  "state": "relaxed",
  "lattice": [[-3.352, 0.794, -2.360], [-1.111, -4.019, 0.226], [-5.906, -0.278, 4.600]],
  "species": ["P", "C", "C", "C", "C", "Ba", "Ba"],
  "fractional_positions": [[0.000, 0.000, 0.000], [0.875, 0.875, 0.251], [0.125, 0.125, 0.749], [0.000, 0.500, 0.000], [0.500, 0.000, 0.000], [0.643, 0.643, 0.714], [0.357, 0.357, 0.286]],
  "formation_energy_ev_per_atom": 1.397,
  "volume_a3_per_atom": 17.1,
  "crystal_system": "tetragonal"
}


(20)
{
  "formula": "LiCaTa",
  "functional": "PBE",
  "state": "relaxed",
  "lattice": [[8.650, -0.024, 0.018], [7.987, 2.833, -0.042], [0.663, -0.841, 2.732]],
  "species": ["Ca", "Li", "Ta"],
  "fractional_positions": [[0.006, 0.006, 0.994], [0.324, 0.324, 0.676], [0.671, 0.671, 0.329]],
  "relative_energy_kj_per_mol_atoms": 38.0,
  "formation_energy_ev_per_atom": 0.637,
  "volume_a3_per_atom": 22.3,
  "crystal_system": "orthorhombic"
}


(21)
{
  "formula": "HoBeNi2",
  "functional": "PBE",
  "state": "relaxed",
  "lattice": [[3.850, 0.000, 0.000], [1.925, 3.335, 0.000], [1.925, 1.112, 4.638]],
  "species": ["Ni", "Ni", "Ho", "Be"],
  "fractional_positions": [[0.799, 0.799, 0.603], [0.201, 0.201, 0.397], [0.000, 0.000, 0.000], [0.500, 0.500, 0.500]],
  "relative_energy_kj_per_mol_atoms": 0.0,
  "formation_energy_ev_per_atom": -0.396,
  "volume_a3_per_atom": 14.9,
  "crystal_system": "trigonal"
}


(22)
{
  "formula": "LiMgNiH4",
  "functional": "PBE",
  "state": "relaxed",
  "lattice": [[3.286, 0.000, 0.000], [0.000, 3.286, 0.000], [-1.643, -1.643, 5.289]],
  "species": ["Li", "Mg", "Ni", "H", "H", "H", "H"],
  "fractional_positions": [[0.637, 0.637, 0.274], [0.357, 0.357, 0.714], [0.992, 0.992, 0.984], [0.006, 0.506, 0.012], [0.506, 0.006, 0.012], [0.833, 0.833, 0.667], [0.168, 0.168, 0.336]],
  "energy_ev_per_atom": -3.451,
  "volume_a3_per_atom": 8.2,
  "crystal_system": "tetragonal"
}


(23)
{
  "formula": "PmGeSb",
  "functional": "PBE",
  "state": "relaxed",
  "lattice": [[-1.434, -0.746, 3.656], [4.103, -2.202, 1.161], [-0.495, 4.711, 0.767]],
  "species": ["Sb", "Ge", "Pm"],
  "fractional_positions": [[0.502, 0.667, 0.333], [0.497, 0.333, 0.667], [0.001, 0.000, 0.000]],
  "relative_energy_kj_per_mol_atoms": 27.7,
  "raw_formation_energy_mev_per_atom": -483.0,
  "volume_a3_per_atom": 26.6,
  "crystal_system": "trigonal"
}


(24)
{
  "formula": "DyEr3Th4Se8",
  "functional": "PBE",
  "state": "relaxed",
  "lattice": [[8.024, 0.000, 0.000], [0.000, 8.490, 0.322], [-4.012, -4.007, 5.676]],
  "species": ["Dy", "Er", "Er", "Er", "Th", "Th", "Th", "Th", "Se", "Se", "Se", "Se", "Se", "Se", "Se", "Se"],
  "fractional_positions": [[0.000, 0.500, 0.000], [0.500, 0.500, 0.000], [0.500, 0.500, 0.500], [0.000, 0.500, 0.500], [0.500, 0.000, 0.000], [0.500, 0.000, 0.500], [0.000, 0.000, 0.000], [0.000, 0.000, 0.500], [0.245, 0.731, 0.987], [0.245, 0.731, 0.489], [0.257, 0.270, 0.513], [0.742, 0.731, 0.987], [0.258, 0.269, 0.013], [0.743, 0.730, 0.487], [0.755, 0.269, 0.511], [0.755, 0.269, 0.013]],
  "raw_formation_energy_mev_per_atom": -1628.0,
  "volume_a3_per_atom": 24.8,
  "crystal_system": "trigonal"
}


(25)
{
  "formula": "Ti4Ir",
  "functional": "PBE",
  "state": "relaxed",
  "lattice": [[-1.682, 0.437, 4.405], [3.078, -3.270, 1.500], [3.180, 3.396, 0.878]],
  "species": ["Ir", "Ti", "Ti", "Ti", "Ti"],
  "fractional_positions": [[0.500, 0.500, 0.500], [0.000, 0.000, 0.000], [0.500, 0.000, 0.500], [0.000, 0.500, 0.500], [0.500, 0.500, 0.000]],
  "relative_energy_kj_per_mol_atoms": 72.0,
  "formation_energy_ev_per_atom": 0.417,
  "volume_a3_per_atom": 21.2,
  "crystal_system": "cubic"
}


(26)
{
  "formula": "Cu3SbC",
  "functional": "PBE",
  "state": "relaxed",
  "lattice": [[4.088, 0.000, 0.000], [0.000, 4.088, 0.000], [0.000, 0.000, 4.088]],
  "species": ["Sb", "C", "Cu", "Cu", "Cu"],
  "fractional_positions": [[0.500, 0.500, 0.500], [0.000, 0.000, 0.000], [0.000, 0.500, 0.000], [0.000, 0.000, 0.500], [0.500, 0.000, 0.000]],
  "relative_energy_kj_per_mol_atoms": 0.0,
  "raw_formation_energy_mev_per_atom": 595.6,
  "volume_a3_per_atom": 13.7,
  "crystal_system": "cubic"
}


In the order shown, the computed Fermi-level density of states values come out to 0.709, 0.470, 2.696, 0.612, 0.190, 1.732, 0.235, 0.405, 0.879, 1.364, 0.546, 1.651, 1.246, 0.627, 1.449, 0.955, 0.781, 0.860, 0.611, 1.410, 0.510, 0.196, 0.696, 0.404, 1.782, 0.423 states/eV per atom.